Here is a geometry-optimized Lu4Tl2C structure from Alexandria. Energies are from GGA-PBE.

Properties
As for the space-group type: No. 139.

Cell: 4.789 4.789 15.008 Å, 90.00 90.00 90.00°
Atoms (fractional coordinates):
Lu (0.000, 0.000, 0.161)
Lu (0.000, 0.000, 0.839)
Lu (0.000, 0.500, 0.000)
Lu (0.000, 0.500, 0.500)
Lu (0.500, 0.000, 0.000)
Lu (0.500, 0.000, 0.500)
Lu (0.500, 0.500, 0.339)
Lu (0.500, 0.500, 0.661)
Tl (0.000, 0.000, 0.365)
Tl (0.000, 0.000, 0.635)
Tl (0.500, 0.500, 0.135)
Tl (0.500, 0.500, 0.865)
C (0.000, 0.000, 0.000)
C (0.500, 0.500, 0.500)

=====

Here is a geometry-optimized TmLuC structure from Alexandria. Energies are from GGA-PBE.

Properties
As for the space-group type: No. 156. Its energy relative to the lowest polymorph listed for this composition is 0 meV/atom.

Cell: 3.508 3.508 6.042 Å, 90.00 90.00 120.00°
Atoms (fractional coordinates):
Tm (0.000, 0.000, 0.000)
Lu (0.333, 0.667, 0.437)
C (0.667, 0.333, 0.221)

=====

Here is a geometry-optimized TmLuC structure from Alexandria. Energies are from GGA-PBE.

Properties
As for the space-group type: No. 107. Its energy relative to the lowest polymorph listed for this composition is 548 meV/atom.

Cell: 3.112 3.112 11.730 Å, 90.00 90.00 90.00°
Atoms (fractional coordinates):
Tm (0.000, 0.000, 0.000)
Tm (0.500, 0.500, 0.500)
Lu (0.000, 0.000, 0.767)
Lu (0.500, 0.500, 0.267)
C (0.000, 0.000, 0.383)
C (0.500, 0.500, 0.883)

=====

Here is a geometry-optimized Tm3LuC structure from Alexandria. Energies are from GGA-PBE.

Properties
As for the space-group type: No. 221.

Cell: 4.959 4.959 4.959 Å, 90.00 90.00 90.00°
Atoms (fractional coordinates):
Tm (0.000, 0.000, 0.500)
Tm (0.000, 0.500, 0.000)
Tm (0.500, 0.000, 0.000)
Lu (0.500, 0.500, 0.500)
C (0.000, 0.000, 0.000)

=====

Here is a geometry-optimized TmLu2C structure from Alexandria. Energies are from GGA-PBE.

Properties
As for the space-group type: No. 166.

Cell: 3.459 3.459 28.055 Å, 90.00 90.00 120.00°
Atoms (fractional coordinates):
Tm (0.000, 0.000, 0.000)
Tm (0.333, 0.667, 0.667)
Tm (0.667, 0.333, 0.333)
Lu (0.000, 0.000, 0.120)
Lu (0.000, 0.000, 0.880)
Lu (0.333, 0.667, 0.546)
Lu (0.333, 0.667, 0.787)
Lu (0.667, 0.333, 0.213)
Lu (0.667, 0.333, 0.454)
C (0.000, 0.000, 0.500)
C (0.333, 0.667, 0.167)
C (0.667, 0.333, 0.833)

=====

Here is a geometry-optimized LuU2C structure from Alexandria. Energies are from GGA-PBE.

Properties
As for the space-group type: No. 166.

Cell: 3.243 3.243 26.526 Å, 90.00 90.00 120.00°
Atoms (fractional coordinates):
Lu (0.000, 0.000, 0.000)
Lu (0.333, 0.667, 0.667)
Lu (0.667, 0.333, 0.333)
U (0.000, 0.000, 0.222)
U (0.000, 0.000, 0.778)
U (0.333, 0.667, 0.445)
U (0.333, 0.667, 0.889)
U (0.667, 0.333, 0.111)
U (0.667, 0.333, 0.555)
C (0.000, 0.000, 0.500)
C (0.333, 0.667, 0.167)
C (0.667, 0.333, 0.833)

=====

Here is a geometry-optimized LuV2C structure from Alexandria. Energies are from GGA-PBE.

Properties
As for the space-group type: No. 123. Its energy relative to the lowest polymorph listed for this composition is 415 meV/atom.

Cell: 2.946 2.946 6.363 Å, 90.00 90.00 90.00°
Atoms (fractional coordinates):
Lu (0.000, 0.000, 0.000)
V (0.500, 0.500, 0.343)
V (0.500, 0.500, 0.657)
C (0.000, 0.000, 0.500)

=====

Here is a geometry-optimized Lu2VC structure from Alexandria. Energies are from GGA-PBE.

Properties
As for the space-group type: No. 166.

Cell: 3.368 3.368 25.622 Å, 90.00 90.00 120.00°
Atoms (fractional coordinates):
Lu (0.000, 0.000, 0.115)
Lu (0.000, 0.000, 0.885)
Lu (0.333, 0.667, 0.552)
Lu (0.333, 0.667, 0.782)
Lu (0.667, 0.333, 0.218)
Lu (0.667, 0.333, 0.448)
V (0.000, 0.000, 0.000)
V (0.333, 0.667, 0.667)
V (0.667, 0.333, 0.333)
C (0.000, 0.000, 0.500)
C (0.333, 0.667, 0.167)
C (0.667, 0.333, 0.833)

=====

Here is a geometry-optimized LuVC structure from Alexandria. Energies are from GGA-PBE.

Properties
As for the space-group type: No. 156.

Cell: 3.177 3.177 5.146 Å, 90.00 90.00 120.00°
Atoms (fractional coordinates):
Lu (0.000, 0.000, 0.000)
V (0.333, 0.667, 0.518)
C (0.667, 0.333, 0.695)

=====

Here is a geometry-optimized LuV3C structure from Alexandria. Energies are from GGA-PBE.

Properties
As for the space-group type: No. 221.

Cell: 4.152 4.152 4.152 Å, 90.00 90.00 90.00°
Atoms (fractional coordinates):
Lu (0.000, 0.000, 0.000)
V (0.000, 0.500, 0.500)
V (0.500, 0.000, 0.500)
V (0.500, 0.500, 0.000)
C (0.500, 0.500, 0.500)

=====

Here is a geometry-optimized LuV2C structure from Alexandria. Energies are from GGA-PBE.

Properties
As for the space-group type: No. 166. Its energy relative to the lowest polymorph listed for this composition is 0 meV/atom.

Cell: 3.037 3.037 22.114 Å, 90.00 90.00 120.00°
Atoms (fractional coordinates):
Lu (0.000, 0.000, 0.000)
Lu (0.333, 0.667, 0.667)
Lu (0.667, 0.333, 0.333)
V (0.000, 0.000, 0.215)
V (0.000, 0.000, 0.785)
V (0.333, 0.667, 0.451)
V (0.333, 0.667, 0.882)
V (0.667, 0.333, 0.118)
V (0.667, 0.333, 0.549)
C (0.000, 0.000, 0.500)
C (0.333, 0.667, 0.167)
C (0.667, 0.333, 0.833)

=====

Here is a geometry-optimized YLu2C structure from Alexandria. Energies are from GGA-PBE.

Properties
As for the space-group type: No. 166.

Cell: 3.472 3.472 28.317 Å, 90.00 90.00 120.00°
Atoms (fractional coordinates):
Y (0.000, 0.000, 0.000)
Y (0.333, 0.667, 0.667)
Y (0.667, 0.333, 0.333)
Lu (0.000, 0.000, 0.121)
Lu (0.000, 0.000, 0.879)
Lu (0.333, 0.667, 0.546)
Lu (0.333, 0.667, 0.787)
Lu (0.667, 0.333, 0.213)
Lu (0.667, 0.333, 0.454)
C (0.000, 0.000, 0.500)
C (0.333, 0.667, 0.167)
C (0.667, 0.333, 0.833)

=====

Here is a geometry-optimized Lu3ZnC structure from Alexandria. Energies are from GGA-PBE.

Properties
As for the space-group type: No. 221.

Cell: 4.748 4.748 4.748 Å, 90.00 90.00 90.00°
Atoms (fractional coordinates):
Lu (0.000, 0.000, 0.500)
Lu (0.000, 0.500, 0.000)
Lu (0.500, 0.000, 0.000)
Zn (0.500, 0.500, 0.500)
C (0.000, 0.000, 0.000)

=====

Here is a geometry-optimized LuZrC structure from Alexandria. Energies are from GGA-PBE.

Properties
As for the space-group type: No. 156.

Cell: 3.412 3.412 5.665 Å, 90.00 90.00 120.00°
Atoms (fractional coordinates):
Lu (0.000, 0.000, 0.000)
Zr (0.667, 0.333, 0.542)
C (0.333, 0.667, 0.745)

=====

Here is a geometry-optimized LuZrC2 structure from Alexandria. Energies are from GGA-PBE.

Properties
As for the space-group type: No. 166.

Cell: 3.393 3.393 16.811 Å, 90.00 90.00 120.00°
Atoms (fractional coordinates):
Lu (0.000, 0.000, 0.000)
Lu (0.333, 0.667, 0.667)
Lu (0.667, 0.333, 0.333)
Zr (0.000, 0.000, 0.500)
Zr (0.333, 0.667, 0.167)
Zr (0.667, 0.333, 0.833)
C (0.000, 0.000, 0.246)
C (0.000, 0.000, 0.754)
C (0.333, 0.667, 0.421)
C (0.333, 0.667, 0.912)
C (0.667, 0.333, 0.088)
C (0.667, 0.333, 0.579)

=====

Here is a geometry-optimized LuZr3C structure from Alexandria. Energies are from GGA-PBE.

Properties
As for the space-group type: No. 221.

Cell: 4.691 4.691 4.691 Å, 90.00 90.00 90.00°
Atoms (fractional coordinates):
Lu (0.000, 0.000, 0.000)
Zr (0.000, 0.500, 0.500)
Zr (0.500, 0.000, 0.500)
Zr (0.500, 0.500, 0.000)
C (0.500, 0.500, 0.500)

=====

Here is a geometry-optimized MgC5 structure from Alexandria. Energies are from GGA-PBE.

Properties
As for the space-group type: No. 8. Its energy relative to the lowest polymorph listed for this composition is 0 meV/atom.

Cell: 10.528 2.514 4.222 Å, 90.00 106.95 90.00°
Atoms (fractional coordinates):
Mg (0.000, 0.000, 0.000)
Mg (0.500, 0.500, 0.000)
C (0.071, 0.500, 0.538)
C (0.225, 0.500, 0.650)
C (0.252, 0.500, 0.325)
C (0.262, 0.000, 0.171)
C (0.276, 0.000, 0.846)
C (0.571, 0.000, 0.538)
C (0.725, 0.000, 0.650)
C (0.752, 0.000, 0.325)
C (0.762, 0.500, 0.171)
C (0.776, 0.500, 0.846)

=====

Here is a geometry-optimized MgC structure from Alexandria. Energies are from GGA-PBE.

Properties
As for the space-group type: No. 221. Its energy relative to the lowest polymorph listed for this composition is 934 meV/atom.

Cell: 2.802 2.802 2.802 Å, 90.00 90.00 90.00°
Atoms (fractional coordinates):
Mg (0.000, 0.000, 0.000)
C (0.500, 0.500, 0.500)

=====

Here is a geometry-optimized MgC structure from Alexandria. Energies are from GGA-PBE.

Properties
As for the space-group type: No. 225. Its energy relative to the lowest polymorph listed for this composition is 1028 meV/atom.

Cell: 4.623 4.623 4.623 Å, 90.00 90.00 90.00°
Atoms (fractional coordinates):
Mg (0.000, 0.000, 0.000)
Mg (0.000, 0.500, 0.500)
Mg (0.500, 0.000, 0.500)
Mg (0.500, 0.500, 0.000)
C (0.000, 0.000, 0.500)
C (0.000, 0.500, 0.000)
C (0.500, 0.000, 0.000)
C (0.500, 0.500, 0.500)

=====

Here is a geometry-optimized MgC structure from Alexandria. Energies are from GGA-PBE.

Properties
As for the space-group type: No. 11. Its energy relative to the lowest polymorph listed for this composition is 152 meV/atom.

Cell: 3.650 2.633 5.573 Å, 90.00 100.16 90.00°
Atoms (fractional coordinates):
Mg (0.128, 0.250, 0.269)
Mg (0.872, 0.750, 0.731)
C (0.430, 0.750, 0.032)
C (0.570, 0.250, 0.968)

=====

| no. | VASP energy (eV/atom) | energy relative to the elements (eV/atom) |
| --- | --- | --- |
| 1 | -4.9248 | -0.348 |
| 2 | -6.4020 | -0.330 |
| 3 | -5.8544 | 0.218 |
| 4 | -5.4848 | -0.053 |
| 5 | -5.8069 | -0.123 |
| 6 | -8.9435 | 0.137 |
| 7 | -7.6725 | 0.323 |
| 8 | -6.5441 | 0.302 |
| 9 | -7.7921 | -0.171 |
| 10 | -8.2004 | 0.020 |
| 11 | -8.0879 | -0.092 |
| 12 | -6.3176 | -0.135 |
| 13 | -5.1248 | -0.313 |
| 14 | -7.8602 | -0.429 |
| 15 | -8.3515 | -0.472 |
| 16 | -8.0854 | -0.208 |
| 17 | -7.2509 | 0.701 |
| 18 | -4.1749 | 1.234 |
| 19 | -4.0816 | 1.328 |
| 20 | -4.9568 | 0.452 |